# 1
The following is a DFT calculation (GGA-PBE) of La2AlCo after structural relaxation.

Properties
The value obtained for the formation enthalpy at 0 K is -0.0949 eV per atom. The total DFT energy (no corrections) comes out at -5.27 eV/atom. The energy above the most stable polymorph in this dataset is 48.0 kJ/mol of formula units. As for the space group: P4mm.

Geometry as CIF:
```
data_La2AlCo
_cell_length_a 3.241
_cell_length_b 3.241
_cell_length_c 8.975
_cell_angle_alpha 90.00
_cell_angle_beta 90.00
_cell_angle_gamma 90.00
_space_group_name_H-M_alt 'P 1'
_space_group_IT_number 1
_space_group_name_Hall 'P 1'
loop_
_atom_site_label
_atom_site_type_symbol
_atom_site_fract_x
_atom_site_fract_y
_atom_site_fract_z
La1 La 0.000 0.000 0.000
La2 La 0.500 0.500 0.390
Al1 Al 0.000 0.000 0.654
Co1 Co 0.500 0.500 0.780
```


# 2
The following is a DFT calculation (GGA-PBE) of Sm2ZnCl after structural relaxation.

Properties
The uncorrected formation energy is -0.796 eV per atom. The total DFT energy (no corrections) comes out at -3.94 eV/atom. The energy above the most stable polymorph in this dataset is 7.0 kJ/mol of formula units. As for the space group: R3m.

Geometry as CIF:
```
data_Sm2ZnCl
_cell_length_a 8.848
_cell_length_b 8.848
_cell_length_c 8.848
_cell_angle_alpha 24.06
_cell_angle_beta 24.06
_cell_angle_gamma 24.06
_space_group_name_H-M_alt 'P 1'
_space_group_IT_number 1
_space_group_name_Hall 'P 1'
loop_
_atom_site_label
_atom_site_type_symbol
_atom_site_fract_x
_atom_site_fract_y
_atom_site_fract_z
Sm1 Sm 0.000 0.000 0.000
Sm2 Sm 0.168 0.168 0.168
Zn1 Zn 0.584 0.584 0.584
Cl1 Cl 0.751 0.751 0.751
```


# 3
The following is a DFT calculation (GGA-PBE) of RbNa2CuBr4 after structural relaxation.

Properties
The uncorrected formation energy is -1.272 eV per atom. The total DFT energy (no corrections) comes out at -3.07 eV/atom. As for the space group: Cmcm.

Geometry as CIF:
```
data_RbNa2CuBr4
_cell_length_a 7.697
_cell_length_b 7.697
_cell_length_c 15.076
_cell_angle_alpha 90.00
_cell_angle_beta 90.00
_cell_angle_gamma 147.72
_space_group_name_H-M_alt 'P 1'
_space_group_IT_number 1
_space_group_name_Hall 'P 1'
loop_
_atom_site_label
_atom_site_type_symbol
_atom_site_fract_x
_atom_site_fract_y
_atom_site_fract_z
Rb1 Rb 0.112 0.888 0.750
Rb2 Rb 0.888 0.112 0.250
Na1 Na 0.372 0.628 0.552
Na2 Na 0.372 0.628 0.948
Na3 Na 0.628 0.372 0.052
Na4 Na 0.628 0.372 0.448
Cu1 Cu 0.164 0.836 0.250
Cu2 Cu 0.836 0.164 0.750
Br1 Br 0.000 0.000 0.000
Br2 Br 0.000 0.000 0.500
Br3 Br 0.260 0.740 0.116
Br4 Br 0.260 0.740 0.384
Br5 Br 0.425 0.575 0.750
Br6 Br 0.575 0.425 0.250
Br7 Br 0.740 0.260 0.616
Br8 Br 0.740 0.260 0.884
```


# 4
The following is a DFT calculation (GGA-PBE) of CsK2CdHg after structural relaxation.

Properties
The value obtained for the formation enthalpy at 0 K is 0.0400 eV per atom. The total DFT energy (no corrections) comes out at -0.81 eV/atom. The energy above the most stable polymorph in this dataset is 38.9 kJ/mol of formula units. As for the space group: P4/mmm.

Geometry as CIF:
```
data_CsK2CdHg
_cell_length_a 6.643
_cell_length_b 6.643
_cell_length_c 7.136
_cell_angle_alpha 90.00
_cell_angle_beta 90.00
_cell_angle_gamma 90.00
_space_group_name_H-M_alt 'P 1'
_space_group_IT_number 1
_space_group_name_Hall 'P 1'
loop_
_atom_site_label
_atom_site_type_symbol
_atom_site_fract_x
_atom_site_fract_y
_atom_site_fract_z
Cs1 Cs 0.000 0.000 0.000
K1 K 0.000 0.500 0.500
K2 K 0.500 0.000 0.500
Cd1 Cd 0.500 0.500 0.000
Hg1 Hg 0.000 0.000 0.500
```


# 5
The following is a DFT calculation (GGA-PBE) of LaNd12Y6 after structural relaxation.

Properties
The value obtained for the formation enthalpy at 0 K is 0.1293 eV per atom. The total DFT energy (no corrections) comes out at -5.18 eV/atom. The energy above the most stable polymorph in this dataset is 0.0 kJ/mol of formula units. As for the space group: R-3.

Geometry as CIF:
```
data_LaNd12Y6
_cell_length_a 8.741
_cell_length_b 8.741
_cell_length_c 8.741
_cell_angle_alpha 89.05
_cell_angle_beta 89.05
_cell_angle_gamma 89.05
_space_group_name_H-M_alt 'P 1'
_space_group_IT_number 1
_space_group_name_Hall 'P 1'
loop_
_atom_site_label
_atom_site_type_symbol
_atom_site_fract_x
_atom_site_fract_y
_atom_site_fract_z
La1 La 0.000 0.000 0.000
Nd1 Nd 0.017 0.362 0.199
Nd2 Nd 0.199 0.017 0.362
Nd3 Nd 0.220 0.567 0.463
Nd4 Nd 0.362 0.199 0.017
Nd5 Nd 0.433 0.537 0.780
Nd6 Nd 0.463 0.220 0.567
Nd7 Nd 0.537 0.780 0.433
Nd8 Nd 0.567 0.463 0.220
Nd9 Nd 0.638 0.801 0.983
Nd10 Nd 0.780 0.433 0.537
Nd11 Nd 0.801 0.983 0.638
Nd12 Nd 0.983 0.638 0.801
Y1 Y 0.099 0.260 0.699
Y2 Y 0.260 0.699 0.099
Y3 Y 0.301 0.901 0.740
Y4 Y 0.699 0.099 0.260
Y5 Y 0.740 0.301 0.901
Y6 Y 0.901 0.740 0.301
```


# 6
The following is a DFT calculation (GGA-PBE) of HgBH2Pt after structural relaxation.

Properties
The total DFT energy (no corrections) comes out at -3.23 eV/atom. As for the space group: P4/mmm.

Geometry as CIF:
```
data_HgBH2Pt
_cell_length_a 3.393
_cell_length_b 3.393
_cell_length_c 5.697
_cell_angle_alpha 90.00
_cell_angle_beta 90.00
_cell_angle_gamma 90.00
_space_group_name_H-M_alt 'P 1'
_space_group_IT_number 1
_space_group_name_Hall 'P 1'
loop_
_atom_site_label
_atom_site_type_symbol
_atom_site_fract_x
_atom_site_fract_y
_atom_site_fract_z
Hg1 Hg 0.000 0.000 0.000
B1 B 0.500 0.500 0.000
H1 H 0.000 0.500 0.500
H2 H 0.500 0.000 0.500
Pt1 Pt 0.000 0.000 0.500
```


total DFT energy (no corrections) of number 3 (RbNa2CuBr4)?
-3.07 eV/atom